A plane-wave DFT calculation with meta-GGA SCAN was carried out for MnHSe2N at its PBEsol-relaxed geometry.

## Properties
Symmetry: No. 123
M_tot: 0.195 μB per atom
E_tot: -13.499 eV/atom

Cell: 4.7137 4.7137 3.3669 Å, 90.00 90.00 90.00°
Atoms (fractional coordinates):
Mn 0.0000 0.0000 0.0000
H 0.5000 0.5000 0.5000
Se 0.0000 0.5000 0.0000
Se 0.5000 0.0000 0.0000
N 0.0000 0.0000 0.5000

=====

A plane-wave DFT calculation with meta-GGA SCAN was carried out for NaMnH3 at its PBEsol-relaxed geometry.

## Properties
Symmetry: No. 166
M_tot: 0.701 μB per atom
E_tot: -6.783 eV/atom

Cell: 5.5443 5.5443 5.5443 Å, 50.01 50.01 50.01°
Atoms (fractional coordinates):
Na 0.1117 0.1117 0.1117
Na 0.8883 0.8883 0.8883
Mn 0.3343 0.3343 0.3343
Mn 0.6657 0.6657 0.6657
H 0.0699 0.5763 0.5763
H 0.4237 0.4237 0.9301
H 0.4237 0.9301 0.4237
H 0.5763 0.0699 0.5763
H 0.5763 0.5763 0.0699
H 0.9301 0.4237 0.4237

=====

A plane-wave DFT calculation with meta-GGA SCAN was carried out for Na3MnH at its PBEsol-relaxed geometry.

## Properties
Symmetry: No. 221
M_tot: 1.022 μB per atom
E_tot: -6.609 eV/atom

Cell: 4.7760 4.7760 4.7760 Å, 90.00 90.00 90.00°
Atoms (fractional coordinates):
Na 0.0000 0.0000 0.5000
Na 0.0000 0.5000 0.0000
Na 0.5000 0.0000 0.0000
Mn 0.5000 0.5000 0.5000
H 0.0000 0.0000 0.0000

=====

A plane-wave DFT calculation with meta-GGA SCAN was carried out for Mn3NiH at its PBEsol-relaxed geometry.

## Properties
Symmetry: No. 221
M_tot: 0.703 μB per atom
E_tot: -14.800 eV/atom

Cell: 3.5099 3.5099 3.5099 Å, 90.00 90.00 90.00°
Atoms (fractional coordinates):
Mn 0.0000 0.0000 0.5000
Mn 0.0000 0.5000 0.0000
Mn 0.5000 0.0000 0.0000
Ni 0.5000 0.5000 0.5000
H 0.0000 0.0000 0.0000

=====

A plane-wave DFT calculation with meta-GGA SCAN was carried out for Mn2NiH at its PBEsol-relaxed geometry.

## Properties
Symmetry: No. 225
M_tot: 1.920 μB per atom
E_tot: -13.744 eV/atom

Cell: 3.8913 3.8913 3.8913 Å, 60.00 60.00 60.00°
Atoms (fractional coordinates):
Mn 0.2500 0.2500 0.2500
Mn 0.7500 0.7500 0.7500
Ni 0.0000 0.0000 0.0000
H 0.5000 0.5000 0.5000

=====

A plane-wave DFT calculation with meta-GGA SCAN was carried out for MnNi3H at its PBEsol-relaxed geometry.

## Properties
Symmetry: No. 221
M_tot: 1.052 μB per atom
E_tot: -14.255 eV/atom

Cell: 3.5696 3.5696 3.5696 Å, 90.00 90.00 90.00°
Atoms (fractional coordinates):
Mn 0.0000 0.0000 0.0000
Ni 0.0000 0.5000 0.5000
Ni 0.5000 0.0000 0.5000
Ni 0.5000 0.5000 0.0000
H 0.5000 0.5000 0.5000

=====

A plane-wave DFT calculation with meta-GGA SCAN was carried out for Mn2NiHPt at its PBEsol-relaxed geometry.

## Properties
Symmetry: No. 123
M_tot: 1.719 μB per atom
E_tot: -25.702 eV/atom

Cell: 3.8650 3.8650 3.5508 Å, 90.00 90.00 90.00°
Atoms (fractional coordinates):
Mn 0.0000 0.5000 0.0000
Mn 0.5000 0.0000 0.0000
Ni 0.0000 0.0000 0.5000
H 0.0000 0.0000 0.0000
Pt 0.5000 0.5000 0.5000

=====

A plane-wave DFT calculation with meta-GGA SCAN was carried out for MnH2O2 at its PBEsol-relaxed geometry.

## Properties
Symmetry: No. 164
M_tot: 0.200 μB per atom
E_tot: -8.564 eV/atom

Cell: 3.2972 3.2972 4.5426 Å, 90.00 90.00 120.00°
Atoms (fractional coordinates):
Mn 0.0000 0.0000 0.0000
H 0.3333 0.6667 0.5494
H 0.6667 0.3333 0.4506
O 0.3333 0.6667 0.7656
O 0.6667 0.3333 0.2344

=====

A plane-wave DFT calculation with meta-GGA SCAN was carried out for Mn12HO24 at its PBEsol-relaxed geometry.

## Properties
Symmetry: No. 7
M_tot: 0.945 μB per atom
E_tot: -12.122 eV/atom

Cell: 8.8417 5.6658 16.1536 Å, 90.00 121.65 90.00°
Atoms (fractional coordinates):
Mn 0.0000 0.1188 0.5000
Mn 0.0000 0.8812 0.0000
Mn 0.0015 0.3688 0.0005
Mn 0.0015 0.6312 0.5005
Mn 0.3043 0.1249 0.8169
Mn 0.3043 0.8751 0.3169
Mn 0.3077 0.3748 0.3163
Mn 0.3077 0.6252 0.8163
Mn 0.4035 0.1233 0.1578
Mn 0.4026 0.3733 0.6581
Mn 0.4026 0.6267 0.1581
Mn 0.4035 0.8767 0.6578
Mn 0.5012 0.1248 0.4985
Mn 0.5010 0.3748 0.9984
Mn 0.5010 0.6252 0.4984
Mn 0.5012 0.8752 0.9985
Mn 0.7991 0.3757 0.3127
Mn 0.7991 0.6243 0.8127
Mn 0.8063 0.1257 0.8173
Mn 0.8063 0.8743 0.3173
Mn 0.9023 0.1250 0.1586
Mn 0.9023 0.8750 0.6586
Mn 0.9029 0.3752 0.6569
Mn 0.9029 0.6248 0.1569
H 0.1515 0.3743 0.4281
H 0.1515 0.6257 0.9281
O 0.0370 0.1249 0.9332
O 0.0370 0.8751 0.4332
O 0.0430 0.3750 0.4323
O 0.0430 0.6250 0.9323
O 0.0646 0.1245 0.7154
O 0.0651 0.3744 0.2158
O 0.0651 0.6256 0.7158
O 0.0646 0.8755 0.2154
O 0.2405 0.1235 0.5989
O 0.2408 0.3734 0.0996
O 0.2408 0.6266 0.5996
O 0.2405 0.8765 0.0989
O 0.2689 0.1285 0.3827
O 0.2689 0.3785 0.8827
O 0.2689 0.6215 0.3827
O 0.2689 0.8715 0.8827
O 0.3649 0.3732 0.7631
O 0.3649 0.6268 0.2631
O 0.3656 0.1231 0.2633
O 0.3656 0.8769 0.7633
O 0.4348 0.3748 0.5498
O 0.4348 0.6252 0.0498
O 0.4419 0.1249 0.0525
O 0.4419 0.8751 0.5525
O 0.5349 0.1251 0.9324
O 0.5349 0.8749 0.4324
O 0.5369 0.3751 0.4328
O 0.5369 0.6249 0.9328
O 0.5659 0.1261 0.7159
O 0.5657 0.3761 0.2150
O 0.5657 0.6239 0.7150
O 0.5659 0.8739 0.2159
O 0.7407 0.1254 0.5993
O 0.7408 0.3753 0.0992
O 0.7408 0.6247 0.5992
O 0.7407 0.8746 0.0993
O 0.7722 0.1274 0.3827
O 0.7724 0.3775 0.8828
O 0.7724 0.6225 0.3828
O 0.7722 0.8726 0.8827
O 0.8642 0.1257 0.2627
O 0.8645 0.3758 0.7625
O 0.8645 0.6242 0.2625
O 0.8642 0.8743 0.7627
O 0.9368 0.1251 0.0509
O 0.9368 0.8749 0.5509
O 0.9439 0.3751 0.5523
O 0.9439 0.6249 0.0523

=====

A plane-wave DFT calculation with meta-GGA SCAN was carried out for Mn6HO12 at its PBEsol-relaxed geometry.

## Properties
Symmetry: No. 9
M_tot: 0.893 μB per atom
E_tot: -11.910 eV/atom

Cell: 5.3640 5.3640 13.4645 Å, 93.18 93.18 63.61°
Atoms (fractional coordinates):
Mn 0.1186 0.8814 0.5000
Mn 0.1454 0.3917 0.6574
Mn 0.1529 0.9046 0.8146
Mn 0.3695 0.6321 0.9996
Mn 0.3917 0.1454 0.1574
Mn 0.4114 0.6630 0.3109
Mn 0.6321 0.3695 0.4996
Mn 0.6376 0.8916 0.6551
Mn 0.6630 0.4114 0.8109
Mn 0.8814 0.1186 0.0000
Mn 0.8916 0.6376 0.1551
Mn 0.9046 0.1529 0.3146
H 0.1677 0.4192 0.4076
H 0.4192 0.1677 0.9076
O 0.0014 0.2464 0.8902
O 0.0312 0.7813 0.9232
O 0.0600 0.3090 0.2270
O 0.0614 0.8050 0.2485
O 0.2215 0.4723 0.0853
O 0.2272 0.9768 0.0630
O 0.2464 0.0014 0.3902
O 0.2769 0.5273 0.4214
O 0.3090 0.0600 0.7270
O 0.3122 0.5561 0.7487
O 0.4723 0.2215 0.5853
O 0.4727 0.7225 0.5631
O 0.4962 0.7516 0.8903
O 0.5273 0.2769 0.9214
O 0.5561 0.3122 0.2487
O 0.5619 0.8127 0.2274
O 0.7225 0.4727 0.0631
O 0.7233 0.9720 0.0862
O 0.7516 0.4962 0.3903
O 0.7813 0.0312 0.4232
O 0.8050 0.0614 0.7485
O 0.8127 0.5619 0.7274
O 0.9720 0.7233 0.5862
O 0.9768 0.2272 0.5630

=====

A plane-wave DFT calculation with meta-GGA SCAN was carried out for MnP2H6O5 at its PBEsol-relaxed geometry.

## Properties
Symmetry: No. 14
M_tot: 0.357 μB per atom
E_tot: -7.778 eV/atom

Cell: 7.5059 7.8873 10.3794 Å, 90.00 105.85 90.00°
Atoms (fractional coordinates):
Mn 0.2054 0.0511 0.1014
Mn 0.2054 0.4489 0.6014
Mn 0.7946 0.5511 0.3986
Mn 0.7946 0.9489 0.8986
P 0.0121 0.2150 0.3223
P 0.0121 0.2850 0.8223
P 0.4535 0.1056 0.6684
P 0.4535 0.3945 0.1684
P 0.5465 0.6056 0.8316
P 0.5465 0.8944 0.3316
P 0.9879 0.7150 0.1777
P 0.9879 0.7850 0.6777
H 0.1367 0.0927 0.3971
H 0.1367 0.4073 0.8971
H 0.1678 0.6476 0.1919
H 0.1678 0.8524 0.6919
H 0.1754 0.7026 0.4325
H 0.1754 0.7974 0.9325
H 0.3418 0.5170 0.0818
H 0.3418 0.9830 0.5818
H 0.3806 0.1120 0.7814
H 0.3806 0.3880 0.2814
H 0.3971 0.6782 0.4654
H 0.3971 0.8218 0.9654
H 0.6029 0.1782 0.0346
H 0.6029 0.3218 0.5346
H 0.6194 0.6120 0.7186
H 0.6194 0.8880 0.2186
H 0.6582 0.0170 0.4182
H 0.6582 0.4830 0.9182
H 0.8246 0.2026 0.0675
H 0.8246 0.2974 0.5675
H 0.8322 0.1476 0.3081
H 0.8322 0.3524 0.8081
H 0.8633 0.5927 0.1029
H 0.8633 0.9073 0.6029
O 0.0307 0.1223 0.9060
O 0.0307 0.3777 0.4060
O 0.0427 0.2321 0.1830
O 0.0427 0.2679 0.6830
O 0.2882 0.6644 0.5027
O 0.2882 0.8356 0.0027
O 0.3472 0.5437 0.7901
O 0.3472 0.9563 0.2901
O 0.4226 0.2210 0.0982
O 0.4226 0.2790 0.5982
O 0.5774 0.7210 0.4018
O 0.5774 0.7790 0.9018
O 0.6528 0.0437 0.7099
O 0.6528 0.4563 0.2099
O 0.7118 0.1644 0.9973
O 0.7118 0.3356 0.4973
O 0.9573 0.7321 0.3170
O 0.9573 0.7679 0.8170
O 0.9693 0.6223 0.5940
O 0.9693 0.8777 0.0940

=====

A plane-wave DFT calculation with meta-GGA SCAN was carried out for MnP2H2O8 at its PBEsol-relaxed geometry.

## Properties
Symmetry: No. 14
M_tot: 0.229 μB per atom
E_tot: -9.353 eV/atom

Cell: 7.0412 14.4567 4.9916 Å, 90.00 97.71 90.00°
Atoms (fractional coordinates):
Mn 0.1946 0.0015 0.1880
Mn 0.1946 0.4985 0.6880
Mn 0.8054 0.5015 0.3120
Mn 0.8054 0.9985 0.8120
P 0.1359 0.6362 0.1588
P 0.1359 0.8638 0.6588
P 0.3880 0.1045 0.7472
P 0.3880 0.3955 0.2472
P 0.6120 0.6045 0.7528
P 0.6120 0.8955 0.2528
P 0.8641 0.1362 0.3412
P 0.8641 0.3638 0.8412
H 0.0602 0.2457 0.5077
H 0.0602 0.2543 0.0077
H 0.4689 0.7502 0.2701
H 0.4689 0.7498 0.7701
H 0.5311 0.2502 0.2299
H 0.5311 0.2498 0.7299
H 0.9398 0.7457 0.9923
H 0.9398 0.7543 0.4923
O 0.0249 0.2125 0.3314
O 0.0249 0.2875 0.8314
O 0.0691 0.5574 0.3525
O 0.0691 0.9426 0.8525
O 0.1062 0.6001 0.8656
O 0.1062 0.8999 0.3656
O 0.2596 0.0592 0.5087
O 0.2596 0.4408 0.0087
O 0.2716 0.1014 0.9892
O 0.2716 0.3986 0.4892
O 0.3307 0.6708 0.2624
O 0.3307 0.8292 0.7624
O 0.4166 0.2055 0.6720
O 0.4166 0.2945 0.1720
O 0.4254 0.5506 0.6835
O 0.4254 0.9494 0.1835
O 0.5746 0.0506 0.8165
O 0.5746 0.4494 0.3165
O 0.5834 0.7055 0.8280
O 0.5834 0.7945 0.3280
O 0.6693 0.1708 0.2376
O 0.6693 0.3292 0.7376
O 0.7284 0.6014 0.5108
O 0.7284 0.8986 0.0108
O 0.7404 0.5592 0.9913
O 0.7404 0.9408 0.4913
O 0.8938 0.1001 0.6344
O 0.8938 0.3999 0.1344
O 0.9309 0.0574 0.1475
O 0.9309 0.4426 0.6475
O 0.9751 0.7125 0.1686
O 0.9751 0.7875 0.6686

=====

> What is the formula in the ninth record?

Mn12HO24